Material: K2PrCrF8
Method: DFT, PBE+U
State: relaxed

Results
Uncorrected energy   -5.61 eV/atom
N(E_F)   0.00 states/eV/atom
Symmetry   P2/m, No. 10
Mass density   3.657 g/cm3

abc: 4.2784 7.3221 6.1591
angles: 90.00 95.26 90.00
Element x y z (fractional)
K  0.0000  0.2301  0.0000
K  0.0000  0.7699  0.0000
Pr  0.5000  0.5000  0.5000
Cr  0.5000  0.0000  0.5000
F  0.0176  0.5000  0.2837
F  0.1184  0.0000  0.3129
F  0.4205  0.2177  0.6930
F  0.4205  0.7823  0.6930
F  0.5795  0.2177  0.3070
F  0.5795  0.7823  0.3070
F  0.8816  0.0000  0.6871
F  0.9824  0.5000  0.7163